(1)
Entry from Alexandria: HoCuSbRh after structural relaxation (PBE).

- Formation energy without anion corrections: -552.1 meV per atom
- DOS(E_F): 1.3 states/eV/cell
- SG: F-43m, No. 216

```
data_HoCuSbRh
_space_group_name_H-M_alt 'P 1'
_space_group_IT_number 1
_space_group_name_Hall 'P 1'
_cell_length_a 4.698
_cell_length_b 4.698
_cell_length_c 4.698
_cell_angle_alpha 60.00
_cell_angle_beta 60.00
_cell_angle_gamma 60.00
loop_
_atom_site_label
_atom_site_type_symbol
_atom_site_fract_x
_atom_site_fract_y
_atom_site_fract_z
Sb1 Sb 0.500 0.500 0.500
Rh1 Rh 0.750 0.750 0.750
Ho1 Ho 0.000 0.000 0.000
Cu1 Cu 0.250 0.250 0.250
```


(2)
Entry from Alexandria: Ho2CuSi4Rh3 after structural relaxation (PBE).

- Formation energy without anion corrections: -895.3 meV per atom
- DOS(E_F): 5.9 states/eV/cell
- SG: P-4m2, No. 115

```
data_Ho2CuSi4Rh3
_space_group_name_H-M_alt 'P 1'
_space_group_IT_number 1
_space_group_name_Hall 'P 1'
_cell_length_a 4.090
_cell_length_b 4.090
_cell_length_c 9.888
_cell_angle_alpha 90.00
_cell_angle_beta 90.00
_cell_angle_gamma 90.00
loop_
_atom_site_label
_atom_site_type_symbol
_atom_site_fract_x
_atom_site_fract_y
_atom_site_fract_z
Ho1 Ho 0.500 0.000 0.246
Ho2 Ho 0.000 0.500 0.754
Cu1 Cu 0.500 0.500 0.500
Si1 Si 0.500 0.500 0.000
Si2 Si 0.000 0.000 0.000
Si3 Si 0.500 0.000 0.632
Si4 Si 0.000 0.500 0.368
Rh1 Rh 0.000 0.000 0.500
Rh2 Rh 0.500 0.000 0.872
Rh3 Rh 0.000 0.500 0.128
```


(3)
Entry from Alexandria: HoCuSnRh after structural relaxation (PBE).

- E_form: -0.553 eV/atom
- DOS(E_F): 2.9 states/eV/cell
- SG: F-43m, No. 216

```
data_HoCuSnRh
_space_group_name_H-M_alt 'P 1'
_space_group_IT_number 1
_space_group_name_Hall 'P 1'
_cell_length_a 4.704
_cell_length_b 4.704
_cell_length_c 4.704
_cell_angle_alpha 60.00
_cell_angle_beta 60.00
_cell_angle_gamma 60.00
loop_
_atom_site_label
_atom_site_type_symbol
_atom_site_fract_x
_atom_site_fract_y
_atom_site_fract_z
Rh1 Rh 0.000 0.000 0.000
Ho1 Ho 0.750 0.750 0.750
Cu1 Cu 0.500 0.500 0.500
Sn1 Sn 0.250 0.250 0.250
```


(4)
Entry from Alexandria: HoTlCuRh after structural relaxation (PBE).

- E_form: -0.290 eV/atom
- DOS(E_F): 3.0 states/eV/cell
- SG: F-43m, No. 216

```
data_HoTlCuRh
_space_group_name_H-M_alt 'P 1'
_space_group_IT_number 1
_space_group_name_Hall 'P 1'
_cell_length_a 4.751
_cell_length_b 4.751
_cell_length_c 4.751
_cell_angle_alpha 60.00
_cell_angle_beta 60.00
_cell_angle_gamma 60.00
loop_
_atom_site_label
_atom_site_type_symbol
_atom_site_fract_x
_atom_site_fract_y
_atom_site_fract_z
Tl1 Tl 0.500 0.500 0.500
Rh1 Rh 0.750 0.750 0.750
Ho1 Ho 0.000 0.000 0.000
Cu1 Cu 0.250 0.250 0.250
```


(5)
Entry from Alexandria: Ho4ZnCu2Rh after structural relaxation (PBE).

- E_form: -0.463 eV/atom
- DOS(E_F): 4.2 states/eV/cell
- SG: R-3m, No. 166

```
data_Ho4ZnCu2Rh
_space_group_name_H-M_alt 'P 1'
_space_group_IT_number 1
_space_group_name_Hall 'P 1'
_cell_length_a 4.905
_cell_length_b 4.905
_cell_length_c 8.496
_cell_angle_alpha 73.22
_cell_angle_beta 73.22
_cell_angle_gamma 60.00
loop_
_atom_site_label
_atom_site_type_symbol
_atom_site_fract_x
_atom_site_fract_y
_atom_site_fract_z
Ho1 Ho 0.379 0.379 0.864
Ho2 Ho 0.872 0.872 0.385
Ho3 Ho 0.128 0.128 0.615
Ho4 Ho 0.621 0.621 0.136
Zn1 Zn 0.000 0.000 0.000
Cu1 Cu 0.745 0.745 0.766
Cu2 Cu 0.255 0.255 0.234
Rh1 Rh 0.500 0.500 0.500
```


(6)
Entry from Alexandria: HoZnCuRh after structural relaxation (PBE).

- E_form: -0.406 eV/atom
- DOS(E_F): 2.3 states/eV/cell
- SG: F-43m, No. 216

```
data_HoZnCuRh
_space_group_name_H-M_alt 'P 1'
_space_group_IT_number 1
_space_group_name_Hall 'P 1'
_cell_length_a 4.579
_cell_length_b 4.579
_cell_length_c 4.579
_cell_angle_alpha 60.00
_cell_angle_beta 60.00
_cell_angle_gamma 60.00
loop_
_atom_site_label
_atom_site_type_symbol
_atom_site_fract_x
_atom_site_fract_y
_atom_site_fract_z
Zn1 Zn 0.500 0.500 0.500
Rh1 Rh 0.750 0.750 0.750
Ho1 Ho 0.000 0.000 0.000
Cu1 Cu 0.250 0.250 0.250
```


(7)
Entry from Alexandria: Ho2Zn3Cu12Rh after structural relaxation (PBE).

- E_form: 0.000 eV/atom
- DOS(E_F): 6.3 states/eV/cell
- SG: R-3m, No. 166

```
data_Ho2Zn3Cu12Rh
_space_group_name_H-M_alt 'P 1'
_space_group_IT_number 1
_space_group_name_Hall 'P 1'
_cell_length_a 12.685
_cell_length_b 12.685
_cell_length_c 12.685
_cell_angle_alpha 23.23
_cell_angle_beta 23.23
_cell_angle_gamma 23.23
loop_
_atom_site_label
_atom_site_type_symbol
_atom_site_fract_x
_atom_site_fract_y
_atom_site_fract_z
Ho1 Ho 0.645 0.645 0.645
Ho2 Ho 0.355 0.355 0.355
Zn1 Zn 0.500 0.000 0.000
Zn2 Zn 0.000 0.500 0.000
Zn3 Zn 0.000 0.000 0.500
Cu1 Cu 0.393 0.393 0.879
Cu2 Cu 0.892 0.892 0.391
Cu3 Cu 0.391 0.892 0.892
Cu4 Cu 0.879 0.393 0.393
Cu5 Cu 0.892 0.391 0.892
Cu6 Cu 0.393 0.879 0.393
Cu7 Cu 0.607 0.607 0.121
Cu8 Cu 0.108 0.108 0.609
Cu9 Cu 0.609 0.108 0.108
Cu10 Cu 0.121 0.607 0.607
Cu11 Cu 0.108 0.609 0.108
Cu12 Cu 0.607 0.121 0.607
Rh1 Rh 0.000 0.000 0.000
```


(8)
Entry from Alexandria: Ho2ZnCuRh2 after structural relaxation (PBE).

- E_form: -0.619 eV/atom
- DOS(E_F): 4.3 states/eV/cell
- SG: Ibam, No. 72

```
data_Ho2ZnCuRh2
_space_group_name_H-M_alt 'P 1'
_space_group_IT_number 1
_space_group_name_Hall 'P 1'
_cell_length_a 5.651
_cell_length_b 5.617
_cell_length_c 8.086
_cell_angle_alpha 110.32
_cell_angle_beta 110.45
_cell_angle_gamma 90.00
loop_
_atom_site_label
_atom_site_type_symbol
_atom_site_fract_x
_atom_site_fract_y
_atom_site_fract_z
Ho1 Ho 0.669 0.909 0.338
Ho2 Ho 0.169 0.429 0.338
Ho3 Ho 0.831 0.571 0.662
Ho4 Ho 0.331 0.091 0.662
Zn1 Zn 0.250 0.000 0.000
Zn2 Zn 0.750 0.000 0.000
Cu1 Cu 0.750 0.500 0.000
Cu2 Cu 0.250 0.500 0.000
Rh1 Rh 0.376 0.634 0.751
Rh2 Rh 0.624 0.366 0.249
Rh3 Rh 0.124 0.883 0.249
Rh4 Rh 0.876 0.117 0.751
```


(9)
Entry from Alexandria: Ho4CuRu after structural relaxation (PBE).

- E_form: -0.175 eV/atom
- Polymorph energy (0 for the lowest one): 1.22 kcal/mol of atoms
- DOS(E_F): 10.4 states/eV/cell
- SG: P2_1/c, No. 14

```
data_Ho4CuRu
_space_group_name_H-M_alt 'P 1'
_space_group_IT_number 1
_space_group_name_Hall 'P 1'
_cell_length_a 6.811
_cell_length_b 6.795
_cell_length_c 6.847
_cell_angle_alpha 90.00
_cell_angle_beta 87.53
_cell_angle_gamma 90.00
loop_
_atom_site_label
_atom_site_type_symbol
_atom_site_fract_x
_atom_site_fract_y
_atom_site_fract_z
Ho1 Ho 0.825 0.661 0.156
Ho2 Ho 0.675 0.161 0.844
Ho3 Ho 0.348 0.339 0.331
Ho4 Ho 0.152 0.839 0.669
Ho5 Ho 0.175 0.339 0.844
Ho6 Ho 0.325 0.839 0.156
Ho7 Ho 0.652 0.661 0.669
Ho8 Ho 0.848 0.161 0.331
Cu1 Cu 0.500 0.000 0.500
Cu2 Cu 0.000 0.500 0.500
Ru1 Ru 0.000 0.000 0.000
Ru2 Ru 0.500 0.500 0.000
```


(10)
Entry from Alexandria: Ho6CuRu2 after structural relaxation (PBE).

- E_form: -0.286 eV/atom
- DOS(E_F): 14.4 states/eV/cell
- SG: Immm, No. 71

```
data_Ho6CuRu2
_space_group_name_H-M_alt 'P 1'
_space_group_IT_number 1
_space_group_name_Hall 'P 1'
_cell_length_a 8.322
_cell_length_b 8.322
_cell_length_c 8.322
_cell_angle_alpha 104.43
_cell_angle_beta 112.09
_cell_angle_gamma 112.01
loop_
_atom_site_label
_atom_site_type_symbol
_atom_site_fract_x
_atom_site_fract_y
_atom_site_fract_z
Ho1 Ho 0.546 0.724 0.822
Ho2 Ho 0.454 0.276 0.178
Ho3 Ho 0.097 0.276 0.822
Ho4 Ho 0.903 0.724 0.178
Ho5 Ho 0.808 0.754 0.562
Ho6 Ho 0.192 0.246 0.438
Ho7 Ho 0.192 0.754 0.946
Ho8 Ho 0.808 0.246 0.054
Ho9 Ho 0.685 0.355 0.670
Ho10 Ho 0.315 0.645 0.330
Ho11 Ho 0.315 0.985 0.670
Ho12 Ho 0.685 0.015 0.330
Cu1 Cu 0.000 0.500 0.500
Cu2 Cu 0.000 0.000 0.000
Ru1 Ru 0.500 0.373 0.873
Ru2 Ru 0.500 0.627 0.127
Ru3 Ru 0.684 0.000 0.684
Ru4 Ru 0.316 0.000 0.316
```


(11)
Entry from Alexandria: Ho5CuRu4 after structural relaxation (PBE).

- E_form: -0.375 eV/atom
- DOS(E_F): 4.2 states/eV/cell
- SG: P4/mmm, No. 123

```
data_Ho5CuRu4
_space_group_name_H-M_alt 'P 1'
_space_group_IT_number 1
_space_group_name_Hall 'P 1'
_cell_length_a 3.397
_cell_length_b 3.397
_cell_length_c 17.094
_cell_angle_alpha 90.00
_cell_angle_beta 90.00
_cell_angle_gamma 90.00
loop_
_atom_site_label
_atom_site_type_symbol
_atom_site_fract_x
_atom_site_fract_y
_atom_site_fract_z
Ho1 Ho 0.500 0.500 0.107
Ho2 Ho 0.500 0.500 0.304
Ho3 Ho 0.500 0.500 0.500
Ho4 Ho 0.500 0.500 0.696
Ho5 Ho 0.500 0.500 0.893
Cu1 Cu 0.000 0.000 0.000
Ru1 Ru 0.000 0.000 0.199
Ru2 Ru 0.000 0.000 0.401
Ru3 Ru 0.000 0.000 0.599
Ru4 Ru 0.000 0.000 0.801
```